# Pm2NiAgO5

A relaxed structure of Pm2NiAgO5 (PBE+U, Alexandria via LeMat-Bulk).

POSCAR file:
```
Pm2NiAgO5
1.0
5.5372 0.0000 0.0000
0.0000 6.7278 0.0000
0.0000 0.0000 6.7278
Pm Ni Ag O
4 2 2 10
Direct
0.5000 0.6772 0.1772
0.5000 0.1772 0.3228
0.5000 0.8228 0.6772
0.5000 0.3228 0.8228
0.0000 0.0000 0.5000
0.0000 0.5000 0.0000
0.0000 0.5000 0.5000
0.0000 0.0000 0.0000
0.5000 0.5000 0.5000
0.5000 0.0000 0.0000
0.2419 0.1295 0.6295
0.2419 0.8705 0.3705
0.2419 0.3705 0.1295
0.2419 0.6295 0.8705
0.7581 0.1295 0.6295
0.7581 0.6295 0.8705
0.7581 0.8705 0.3705
0.7581 0.3705 0.1295
```

Magnetization in μB per formula unit: 1.00
Space group: No. 127
VASP energy in eV/cell: -114.92